Entry from Alexandria via LeMat-Bulk: a geometry-optimized Tb2Nd2Y3 structure (PBE-GGA).

Computed properties:
Formation energy: 0.1307 eV per atom
Total moment: 0.00 μB/f.u.
Space group: C2/m, No. 12
Energy relative to the lowest polymorph listed for this composition: 0 meV/atom

abc: 16.864 3.514 8.817
angles: 90.00 116.31 90.00
Positions (direct):
Tb1 0.139 0.000 0.409
Tb2 0.361 0.500 0.591
Tb3 0.639 0.500 0.409
Tb4 0.861 0.000 0.591
Nd1 0.078 0.500 0.702
Nd2 0.422 0.000 0.298
Nd3 0.578 0.000 0.702
Nd4 0.922 0.500 0.298
Y1 0.000 0.500 0.000
Y2 0.221 0.500 0.148
Y3 0.279 0.000 0.852
Y4 0.500 0.000 0.000
Y5 0.721 0.000 0.148
Y6 0.779 0.500 0.852